CsTa2In2 (PBE, relaxed); DFT formation energy = 55 kJ per mole of atoms; magnetic moment = 0.00 μB/f.u.
1.0
3.753 0.000 0.000
0.000 3.753 0.000
0.000 0.000 22.064
Cs Ta In
2 4 4
direct
0.000 0.000 0.000
0.500 0.500 0.500
0.000 0.500 0.250
0.000 0.500 0.750
0.500 0.000 0.250
0.500 0.000 0.750
0.000 0.000 0.364
0.000 0.000 0.636
0.500 0.500 0.136
0.500 0.500 0.864


CsTa3In (PBE, relaxed); DFT formation energy = 286 kJ per mole of atoms; magnetic moment = 0.00 μB/f.u.
1.0
5.044 0.000 0.000
0.000 5.044 0.000
0.000 0.000 5.044
Cs Ta In
1 3 1
direct
0.000 0.000 0.000
0.000 0.000 0.500
0.000 0.500 0.000
0.500 0.000 0.000
0.500 0.500 0.500


CsTaIn3 (PBE, relaxed); DFT formation energy = 209 kJ per mole of atoms; magnetic moment = 3.11 μB/f.u.
1.0
6.133 0.000 0.000
0.000 6.133 0.000
0.000 0.000 6.133
Cs Ta In
1 1 3
direct
0.000 0.000 0.000
0.500 0.500 0.500
0.000 0.000 0.500
0.000 0.500 0.000
0.500 0.000 0.000


CsTa3In (PBE, relaxed); DFT formation energy = 238 kJ per mole of atoms; magnetic moment = 0.00 μB/f.u.
1.0
5.271 0.000 0.000
0.000 5.271 0.000
0.000 0.000 5.271
Cs Ta In
1 3 1
direct
0.000 0.000 0.000
0.000 0.500 0.500
0.500 0.000 0.500
0.500 0.500 0.000
0.500 0.500 0.500


Number 3 is which compound?
CsTaIn3